LiAgS | PBE-GGA | relaxed

Output
uncorrected energy: -3.4467 eV/atom
SG: P3m1 (156)

Unit cell a=4.1707 b=4.1707 c=3.8760 alpha=90.00 beta=90.00 gamma=120.00
Positions (direct):
Li1 0.0000 0.0000 0.0000
Ag1 0.6667 0.3333 0.5844
S1 0.3333 0.6667 0.7694



Li3AgS | PBE-GGA | relaxed

Output
energy relative to the lowest polymorph listed for this composition: 2.72 eV per formula unit
SG: Pm-3m (221)

Unit cell a=4.7165 b=4.7165 c=4.7165 alpha=90.00 beta=90.00 gamma=90.00
Positions (direct):
Li1 0.0000 0.0000 0.5000
Li2 0.0000 0.5000 0.0000
Li3 0.5000 0.0000 0.0000
Ag1 0.0000 0.0000 0.0000
S1 0.5000 0.5000 0.5000



LiAg2S2 | PBE-GGA | relaxed

Output
energy relative to the lowest polymorph listed for this composition: 0.72 eV per formula unit
SG: I4/mmm (139)

Unit cell a=5.4661 b=5.4661 c=5.4661 alpha=125.90 beta=125.90 gamma=80.06
Positions (direct):
Li1 0.0000 0.0000 0.0000
Ag1 0.3217 0.3217 0.0000
Ag2 0.6783 0.6783 0.0000
S1 0.2500 0.7500 0.5000
S2 0.7500 0.2500 0.5000



LiAgS | PBE-GGA | relaxed

Output
uncorrected energy: -3.6715 eV/atom
SG: Cmme (67)

Unit cell a=4.4382 b=4.4382 c=5.9754 alpha=90.00 beta=90.00 gamma=94.25
Positions (direct):
Li1 0.2500 0.2500 0.0000
Li2 0.7500 0.7500 0.0000
Ag1 0.0000 0.5000 0.5000
Ag2 0.5000 0.0000 0.5000
S1 0.2500 0.7500 0.8141
S2 0.7500 0.2500 0.1859



LiAg2S2 | PBE-GGA | relaxed

Output
energy relative to the lowest polymorph listed for this composition: 0.00 eV per formula unit
SG: P2_1/c (14)

Unit cell a=8.7626 b=7.3356 c=6.5652 alpha=90.00 beta=99.97 gamma=90.00
Positions (direct):
Li1 0.1509 0.0775 0.3967
Li2 0.1509 0.4225 0.8967
Li3 0.8491 0.5775 0.1033
Li4 0.8491 0.9225 0.6033
Ag1 0.1227 0.6491 0.4924
Ag2 0.1227 0.8509 0.9924
Ag3 0.4306 0.7169 0.4174
Ag4 0.4306 0.7831 0.9174
Ag5 0.5694 0.2169 0.0826
Ag6 0.5694 0.2831 0.5826
Ag7 0.8773 0.1491 0.0076
Ag8 0.8773 0.3509 0.5076
S1 0.0557 0.1418 0.7317
S2 0.0557 0.3582 0.2317
S3 0.3669 0.5173 0.6967
S4 0.3669 0.9827 0.1967
S5 0.6331 0.0173 0.8033
S6 0.6331 0.4827 0.3033
S7 0.9443 0.6418 0.7683
S8 0.9443 0.8582 0.2683



Li2AgSbS4 | PBE-GGA | relaxed

Output
uncorrected energy: -4.0106 eV/atom
SG: I-4 (82)

Unit cell a=6.9829 b=6.9829 c=6.9829 alpha=131.72 beta=131.72 gamma=70.68
Positions (direct):
Li1 0.0000 0.0000 0.0000
Li2 0.7500 0.2500 0.5000
Ag1 0.5000 0.5000 0.0000
Sb1 0.2500 0.7500 0.5000
S1 0.1222 0.1032 0.4833
S2 0.3612 0.8778 0.9810
S3 0.6198 0.6388 0.5167
S4 0.8968 0.3802 0.0190



Li2AgSeS4 | PBE-GGA | relaxed

Output
uncorrected energy: -3.6751 eV/atom
SG: Fmm2 (42)

Unit cell a=6.3454 b=5.4118 c=6.2678 alpha=65.34 beta=50.81 gamma=63.85
Positions (direct):
Li1 0.0000 0.0000 0.5000
Li2 0.5000 0.5000 0.0000
Ag1 0.2293 0.2293 0.7707
Se1 0.7031 0.7031 0.2969
S1 0.0082 0.5262 0.4738
S2 0.2880 0.7420 0.7120
S3 0.5262 0.0082 0.9918
S4 0.7420 0.2880 0.2580



Li2SiAgS4 | PBE-GGA | relaxed

Output
uncorrected energy: -4.2541 eV/atom
SG: I-42m (121)

Unit cell a=5.8649 b=5.8649 c=5.8649 alpha=109.24 beta=109.24 gamma=109.93
Positions (direct):
Li1 0.2500 0.7500 0.5000
Li2 0.7500 0.2500 0.5000
Si1 0.0000 0.0000 0.0000
Ag1 0.5000 0.5000 0.0000
S1 0.0183 0.0183 0.6480
S2 0.3703 0.3703 0.3520
S3 0.6297 0.9817 0.0000
S4 0.9817 0.6297 0.0000